BaZn2SeO2 | PBE | relaxed

**Space group**: P2_1/m, No. 11
**V**: 251 Å³/cell
**Final energy**: -53.6 eV/cell
**Raw formation energy**: -1486 meV/atom

Cell lengths 5.3497, 6.3090, 7.7839 Å; angles 107.27, 90.00, 90.00 degrees
Last column: nearest neighbours and their distance in Å.
Element x y z (fractional)
O 0.7500 0.9198 0.6365  2 Zn 1.95
Zn 0.9969 0.1292 0.1998  2 O 1.95
Ba 0.2500 0.6731 0.3583  2 O 2.56-2.57
O 0.2500 0.0802 0.3635  2 Zn 1.95
Zn 0.5031 0.1292 0.1998  2 O 1.95
Se 0.2500 0.2306 0.9510  4 Zn 2.59
Ba 0.7500 0.3269 0.6417  2 O 2.56-2.57
Se 0.7500 0.7694 0.0490  4 Zn 2.59
O 0.7500 0.3531 0.3182  2 Zn 1.95
Zn 0.4969 0.8708 0.8002  2 O 1.95
Zn 0.0031 0.8708 0.8002  2 O 1.95
O 0.2500 0.6469 0.6818  2 Zn 1.95